[1]
The following is a SCAN calculation of CoNiAg4 at its PBEsol-relaxed geometry, from the Alexandria database.

Properties
**V**: 16.5 Å³/atom
**Formation enthalpy at 0 K**: 727 meV/atom
**M_tot**: 2.70 μB per formula unit
**Space group**: F-43m, No. 216

Cell: 5.1876 5.1876 5.1876 Å, 60.00 60.00 60.00°
Site moments in Bohr magnetons follow the coordinates.
Fractional coordinates of all 6 atoms:
1 Ni 0.0000 0.0000 0.0000  0.59
2 Ag 0.3750 0.3750 0.8751  -0.01
3 Ag 0.3750 0.3750 0.3750  -0.01
4 Ag 0.3750 0.8751 0.3750  -0.01
5 Ag 0.8751 0.3750 0.3750  -0.01
6 Co 0.7500 0.7500 0.7500  2.27

[2]
The following is a SCAN calculation of BiSe2NF at its PBEsol-relaxed geometry, from the Alexandria database.

Properties
**V**: 18.2 Å³/atom
**M_tot**: 1.87 μB per formula unit
**DFT total energy**: -25.387 eV/atom
**Space group**: P4/mmm, No. 123

Cell: 4.3862 4.3862 4.7238 Å, 90.00 90.00 90.00°
Site moments in Bohr magnetons follow the coordinates.
Fractional coordinates of all 5 atoms:
1 F 0.0000 0.0000 0.0000  0.03
2 N 0.0000 0.0000 0.5000  1.50
3 Se 0.0000 0.5000 0.0000  0.04
4 Se 0.5000 0.0000 0.0000  0.04
5 Bi 0.5000 0.5000 0.5000  -0.26

[3]
The following is a SCAN calculation of CaSb2Pt at its PBEsol-relaxed geometry, from the Alexandria database.

Properties
**V**: 24.6 Å³/atom
**M_tot**: 0.00 μB per formula unit
**DFT total energy**: -39.311 eV/atom
**Space group**: I-42d, No. 122

Cell: 5.9097 6.4847 6.4847 Å, 78.02 62.89 62.89°
Fractional coordinates of all 8 atoms:
1 Sb 0.6880 0.9370 0.4370
2 Sb 0.8750 0.4370 0.0630
3 Sb 0.0620 0.0630 0.5630
4 Sb 0.3750 0.5630 0.9370
5 Ca 0.2500 0.5000 0.5000
6 Ca 0.5000 0.0000 0.0000
7 Pt 0.0000 0.0000 0.0000
8 Pt 0.7500 0.5000 0.5000

[4]
The following is a SCAN calculation of YTe2AsN at its PBEsol-relaxed geometry, from the Alexandria database.

Properties
**V**: 23.0 Å³/atom
**M_tot**: 0.59 μB per formula unit
**DFT total energy**: -26.304 eV/atom
**Space group**: P4/mmm, No. 123

Cell: 3.8200 5.4836 5.4836 Å, 90.00 90.00 90.00°
Site moments in Bohr magnetons follow the coordinates.
Fractional coordinates of all 5 atoms:
1 Y 0.5000 0.5000 0.5000  -0.02
2 N 0.5000 0.0000 0.0000  0.37
3 Te 0.0000 0.5000 0.0000  0.05
4 Te 0.0000 0.0000 0.5000  0.05
5 As 0.0000 0.0000 0.0000  0.00

[5]
The following is a SCAN calculation of Zr2HgIr2 at its PBEsol-relaxed geometry, from the Alexandria database.

Properties
**V**: 20.9 Å³/atom
**Formation enthalpy at 0 K**: -562 meV/atom
**M_tot**: 0.00 μB per formula unit
**Space group**: I4/mmm, No. 139

Cell: 4.4701 4.4701 6.1209 Å, 111.42 111.42 90.00°
Fractional coordinates of all 5 atoms:
1 Zr 0.2500 0.7500 0.5000
2 Zr 0.7500 0.2500 0.5000
3 Ir 0.3824 0.3824 0.7648
4 Ir 0.6176 0.6176 0.2352
5 Hg 0.0000 0.0000 0.0000

[6]
The following is a SCAN calculation of LiAl2Ni at its PBEsol-relaxed geometry, from the Alexandria database.

Properties
**V**: 12.9 Å³/atom
**Formation enthalpy at 0 K**: -440 meV/atom
**M_tot**: 0.00 μB per formula unit
**Space group**: P4/mmm, No. 123

Cell: 2.9656 2.9656 5.8462 Å, 90.00 90.00 90.00°
Fractional coordinates of all 4 atoms:
1 Al 0.0000 0.0000 0.7312
2 Al 0.0000 0.0000 0.2688
3 Ni 0.5000 0.5000 0.5000
4 Li 0.5000 0.5000 0.0000